Entry 1:
The following is a PBE-GGA calculation of AgOs2W after structural relaxation, from the Alexandria database.

Structure (extended XYZ):
```
4
Lattice="-2.397 -0.860 0.919 2.075 -1.717 0.274 1.971 3.766 8.669" Properties=species:S:1:pos:R:3 pbc="T T T"
Os 0.026 0.050 0.116
Os 0.331 -0.348 2.761
Ag 1.319 1.539 7.105
W 0.958 1.830 4.213
```

Computed properties:
Symmetry: Cmm2
Theoretical density (g/cm³): 17.6
Energy above the lowest structure with this stoichiometry (eV per atom): 0.3459
VASP energy (eV/atom): -8.9286
Formation energy from the elements (eV/atom): 0.637


Entry 2:
The following is a PBE-GGA calculation of AgOs2W after structural relaxation, from the Alexandria database.

Structure (extended XYZ):
```
4
Lattice="2.724 0.000 0.000 -1.167 2.461 0.000 0.000 0.000 9.474" Properties=species:S:1:pos:R:3 pbc="T T T"
Os 0.000 0.000 0.148
Os 0.000 0.000 4.589
Ag 0.778 1.231 7.106
W 0.778 1.231 2.369
```

Computed properties:
Symmetry: Cmmm
Theoretical density (g/cm³): 17.6
Energy above the lowest structure with this stoichiometry (eV per atom): 0.2083
VASP energy (eV/atom): -9.0663
Formation energy from the elements (eV/atom): 0.500